Run i
Entry from Alexandria: a relaxed structure of HgIr2Cl (PBE-GGA).

Computed properties:
- D(E_F) (states/eV/atom) = 0.6245
- total magnetization (μB/cell) = 0.00

a = 2.814 Å, b = 5.127 Å, c = 10.353 Å
α = 90.00°, β = 90.00°, γ = 90.00°
Space group Cmm2 (No. 35)
Unique sites:
Hg: 0.000 0.000 0.000 x2
Ir: 0.000 0.000 0.534 x2
Ir: 0.000 0.500 0.747 x2
Cl: 0.000 0.500 0.341 x2

Run ii
Entry from Alexandria: a relaxed structure of HgIr2Cl (PBE-GGA).

Computed properties:
- D(E_F) (states/eV/atom) = 0.8003
- total magnetization (μB/cell) = 0.00

a = 2.844 Å, b = 5.210 Å, c = 9.065 Å
α = 90.00°, β = 90.00°, γ = 90.00°
Space group Cmmm (No. 65)
Unique sites:
Hg: 0.000 0.000 0.000 x2
Ir: 0.000 0.500 0.267 x4
Cl: 0.000 0.000 0.500 x2

Most stable one: run i, least stable one: run ii.

Run i
Entry from Alexandria: a relaxed structure of La2TlInIr (PBE-GGA).

Computed properties:
- D(E_F) (states/eV/atom) = 1.0613
- total magnetization (μB/cell) = 0.00

a = 5.530 Å, b = 5.530 Å, c = 5.198 Å
α = 90.00°, β = 90.00°, γ = 90.00°
Space group P4/mmm (No. 123)
Unique sites:
La: 0.000 0.500 0.000 x2
Tl: 0.000 0.000 0.500 x1
In: 0.500 0.500 0.500 x1
Ir: 0.500 0.500 0.000 x1

Run ii
Entry from Alexandria: a relaxed structure of La2TlInIr (PBE-GGA).

Computed properties:
- D(E_F) (states/eV/atom) = 0.4644
- total magnetization (μB/cell) = 0.00

a = 8.135 Å, b = 4.451 Å, c = 8.243 Å
α = 90.00°, β = 109.65°, γ = 90.00°
Space group P2_1/m (No. 11)
Unique sites:
La: 0.024 0.250 0.220 x2
La: 0.327 0.750 0.606 x2
Tl: 0.328 0.750 0.193 x2
In: 0.343 0.250 0.946 x2
Ir: 0.098 0.250 0.619 x2

Most stable one: run ii, least stable one: run i.

Run i
Entry from Alexandria: a relaxed structure of LaScCd (PBE-GGA).

Computed properties:
- D(E_F) (states/eV/atom) = 0.6408
- total magnetization (μB/cell) = 0.00

a = 5.3653 Å, b = 5.3653 Å, c = 6.7472 Å
α = 90.00°, β = 90.00°, γ = 120.00°
Space group P3m1 (No. 156)
Unique sites:
La: 0.0000 0.0000 0.0000 x1
La: 0.3333 0.6667 0.3452 x1
Sc: 0.0000 0.0000 0.5196 x1
Sc: 0.6667 0.3333 0.7100 x1
Cd: 0.3333 0.6667 0.8063 x1
Cd: 0.6667 0.3333 0.2375 x1

Run ii
Entry from Alexandria: a relaxed structure of LaScCd (PBE-GGA).

Computed properties:
- D(E_F) (states/eV/atom) = 1.5654
- total magnetization (μB/cell) = 1.51

a = 4.7116 Å, b = 4.7116 Å, c = 11.7985 Å
α = 90.00°, β = 90.00°, γ = 120.00°
Space group P6_3/mmc (No. 194)
Unique sites:
La: 0.0000 0.0000 0.0000 x2
Sc: 0.0000 0.0000 0.2500 x2
Cd: 0.3333 0.6667 0.2500 x2

Most stable one: run i, least stable one: run ii.

Run i
Entry from Alexandria: a relaxed structure of TcMo2Os (PBE-GGA).

Computed properties:
- D(E_F) (states/eV/atom) = 0.8745
- total magnetization (μB/cell) = 0.00

a = 9.294 Å, b = 2.776 Å, c = 4.791 Å
α = 90.00°, β = 99.28°, γ = 90.00°
Space group Cm (No. 8)
Unique sites:
Tc: 0.000 0.000 0.000 x2
Mo: 0.246 0.000 0.752 x2
Mo: 0.483 0.000 0.483 x2
Os: 0.238 0.500 0.240 x2

Run ii
Entry from Alexandria: a relaxed structure of TcMo2Os (PBE-GGA).

Computed properties:
- D(E_F) (states/eV/atom) = 0.9219
- total magnetization (μB/cell) = 0.00

a = 2.765 Å, b = 3.940 Å, c = 5.594 Å
α = 90.00°, β = 90.00°, γ = 90.00°
Space group Pmm2 (No. 25)
Unique sites:
Tc: 0.000 0.000 0.000 x1
Mo: 0.000 0.000 0.512 x1
Mo: 0.500 0.500 0.246 x1
Os: 0.500 0.500 0.756 x1

Most stable one: run i, least stable one: run ii.